TmHfCu6: relaxed, PBE.

The structure in POSCAR format:
```
TmHfCu6
1.0
4.4952 0.0000 0.0000
0.0000 5.6686 0.0000
0.0000 0.0000 4.6638
Tm Hf Cu
1 1 6
direct
0.0000 0.0000 0.0000 Tm
0.5000 0.5000 0.3031 Hf
0.0000 0.2739 0.4953 Cu
0.0000 0.5000 0.9703 Cu
0.0000 0.7261 0.4953 Cu
0.5000 0.0000 0.3640 Cu
0.5000 0.2579 0.8056 Cu
0.5000 0.7421 0.8056 Cu
```

Output
**Total DFT energy (no corrections)**: -38.0 eV per cell
**Formation energy**: -15 kJ per mole of atoms
**Crystal system**: orthorhombic